# 1
The following is a DFT calculation (PBE-GGA) of Ba3PtSe2 after structural relaxation.

## Properties
Uncorrected formation energy = -1.5646 eV per atom
Raw total energy = -4.69 eV per atom
Symmetry = No. 15
Crystal system = monoclinic
Total magnetic moment = 0.0 μB per formula unit

abc: 8.1063 8.1063 9.3518
angles: 106.76 106.76 48.16
Last column: nearest neighbours and their distance in Å.
Sites, in units of the cell vectors:
Ba1 0.0003 0.9997 0.2500  2 Pt 3.31, 4 Se 3.33
Ba2 0.9997 0.0003 0.7500  2 Pt 3.31, 4 Se 3.33
Ba3 0.3379 0.3381 0.4189  2 Pt 3.26, 4 Se 3.31-3.34
Ba4 0.3381 0.3379 0.9189  2 Pt 3.26, 4 Se 3.31-3.34
Ba5 0.6619 0.6621 0.0811  2 Pt 3.26, 4 Se 3.31-3.34
Ba6 0.6621 0.6619 0.5811  2 Pt 3.26, 4 Se 3.31-3.34
Pt1 0.5005 0.4995 0.2500  6 Ba 3.26-3.31
Pt2 0.4995 0.5005 0.7500  6 Ba 3.26-3.31
Se1 0.1684 0.1686 0.0842  6 Ba 3.31-3.34
Se2 0.1686 0.1684 0.5842  6 Ba 3.31-3.34
Se3 0.8314 0.8316 0.4158  6 Ba 3.31-3.34
Se4 0.8316 0.8314 0.9158  6 Ba 3.31-3.34

# 2
The following is a DFT calculation (PBE-GGA) of KTl7Hg5 after structural relaxation.

## Properties
Raw total energy = -1.51 eV per atom
Symmetry = No. 44
Crystal system = orthorhombic
Total magnetic moment = 0.0 μB per formula unit

abc: 8.6102 8.6102 8.6102
angles: 138.33 96.51 98.03
Last column: nearest neighbours and their distance in Å.
Sites, in units of the cell vectors:
K1 0.0000 0.0000 0.0000  6 Hg 3.80-4.21, 10 Tl 3.90-4.10
Tl1 0.2177 0.5071 0.7106  5 Hg 3.23-3.36, 3 Tl 3.40-3.50
Tl2 0.2195 0.7195 0.5000  4 Hg 3.32, 6 Tl 3.40-3.64
Tl3 0.3616 0.3616 0.0000  3 Tl 3.30-3.46, 4 Hg 3.50
Tl4 0.3651 0.0073 0.3578  4 Tl 3.26-3.64, 4 Hg 3.43-3.46
Tl5 0.6494 0.0073 0.6422  4 Tl 3.26-3.64, 4 Hg 3.43-3.46
Tl6 0.6536 0.6536 0.0000  1 Tl 3.30, 6 Hg 3.42-3.48
Tl7 0.7965 0.5071 0.2894  5 Hg 3.23-3.36, 3 Tl 3.40-3.50
Hg1 0.0034 0.0084 0.4961  3 Hg 3.06-3.24, 4 Tl 3.23-3.42
Hg2 0.0034 0.5073 0.9950  3 Hg 3.06-3.24, 4 Tl 3.23-3.42
Hg3 0.5123 0.0084 0.0050  3 Hg 3.06-3.24, 4 Tl 3.23-3.42
Hg4 0.5123 0.5073 0.5039  3 Hg 3.06-3.24, 4 Tl 3.23-3.42
Hg5 0.8001 0.3001 0.5000  4 Hg 3.24, 4 Tl 3.36-3.48

# 3
The following is a DFT calculation (PBE-GGA) of Ba4I2NCl after structural relaxation.

## Properties
Uncorrected formation energy = -1.2678 eV per atom
Raw total energy = -3.89 eV per atom
Symmetry = No. 10
Crystal system = monoclinic
Total magnetic moment = 0.0 μB per formula unit

abc: 7.9247 4.4161 8.5226
angles: 90.00 106.80 90.00
Last column: nearest neighbours and their distance in Å.
Sites, in units of the cell vectors:
Ba1 0.1991 0.0000 0.1852  2 N 2.90, 1 Cl 3.22
Ba2 0.2270 0.5000 0.8026  1 N 2.80
Ba3 0.7730 0.5000 0.1974  1 N 2.80
Ba4 0.8009 0.0000 0.8148  2 N 2.90, 1 Cl 3.22
I1 0.0000 0.0000 0.5000  6 Ba 3.48
I2 0.5000 0.5000 0.5000  6 Ba 3.75-3.82
N1 0.0000 0.5000 0.0000  6 Ba 2.80-2.90
Cl1 0.5000 0.0000 0.0000  6 Ba 3.21-3.22

# 4
The following is a DFT calculation (PBE-GGA) of Tm5TlTe8 after structural relaxation.

## Properties
Uncorrected formation energy = -1.1520 eV per atom
Raw total energy = -4.71 eV per atom
Symmetry = No. 216
Crystal system = cubic
Total magnetic moment = 0.0 μB per formula unit

abc: 9.0975 9.0975 9.0975
angles: 60.00 60.00 60.00
Last column: nearest neighbours and their distance in Å.
Sites, in units of the cell vectors:
Tm1 0.0000 0.0000 0.0000  4 Te 2.97
Tm2 0.1384 0.6205 0.6205  6 Te 2.99-3.18
Tm3 0.6205 0.1384 0.6205  6 Te 2.99-3.18
Tm4 0.6205 0.6205 0.1384  6 Te 2.99-3.18
Tm5 0.6205 0.6205 0.6205  6 Te 2.99-3.18
Tl1 0.2500 0.2500 0.2500  4 Te 3.09
Te1 0.3886 0.3886 0.3886  3 Tm 2.99, 1 Tl 3.09
Te2 0.3886 0.3886 0.8341  3 Tm 2.99, 1 Tl 3.09
Te3 0.3886 0.8341 0.3886  3 Tm 2.99, 1 Tl 3.09
Te4 0.3992 0.8669 0.8669  4 Tm 2.97-3.18
Te5 0.8341 0.3886 0.3886  3 Tm 2.99, 1 Tl 3.09
Te6 0.8669 0.3992 0.8669  4 Tm 2.97-3.18
Te7 0.8669 0.8669 0.3992  4 Tm 2.97-3.18
Te8 0.8669 0.8669 0.8669  4 Tm 2.97-3.18

# 5
The following is a DFT calculation (PBE-GGA) of PrSmZnBi after structural relaxation.

## Properties
Raw total energy = -4.12 eV per atom
Symmetry = No. 216
Crystal system = cubic
Total magnetic moment = 0.0 μB per formula unit

abc: 7.6762 7.6762 7.6762
angles: 90.00 90.00 90.00
Last column: nearest neighbours and their distance in Å.
Sites, in units of the cell vectors:
Pr1 0.0000 0.0000 0.0000  4 Bi 3.32, 4 Zn 3.32
Pr2 0.0000 0.5000 0.5000  4 Bi 3.32, 4 Zn 3.32
Pr3 0.5000 0.0000 0.5000  4 Bi 3.32, 4 Zn 3.32
Pr4 0.5000 0.5000 0.0000  4 Bi 3.32, 4 Zn 3.32
Sm1 0.0000 0.0000 0.5000  4 Bi 3.32, 4 Zn 3.32
Sm2 0.0000 0.5000 0.0000  4 Zn 3.32, 4 Bi 3.32
Sm3 0.5000 0.0000 0.0000  4 Zn 3.32, 4 Bi 3.32
Sm4 0.5000 0.5000 0.5000  4 Bi 3.32, 4 Zn 3.32
Zn1 0.2500 0.2500 0.7500  4 Pr 3.32, 4 Sm 3.32
Zn2 0.2500 0.7500 0.2500  4 Pr 3.32, 4 Sm 3.32
Zn3 0.7500 0.2500 0.2500  4 Pr 3.32, 4 Sm 3.32
Zn4 0.7500 0.7500 0.7500  4 Pr 3.32, 4 Sm 3.32
Bi1 0.2500 0.2500 0.2500  4 Pr 3.32, 4 Sm 3.32
Bi2 0.2500 0.7500 0.7500  4 Pr 3.32, 4 Sm 3.32
Bi3 0.7500 0.2500 0.7500  4 Pr 3.32, 4 Sm 3.32
Bi4 0.7500 0.7500 0.2500  4 Pr 3.32, 4 Sm 3.32

# 6
The following is a DFT calculation (PBE-GGA) of LaOsSe2 after structural relaxation.

## Properties
Uncorrected formation energy = -0.3998 eV per atom
Raw total energy = -6.18 eV per atom
Symmetry = No. 160
Crystal system = trigonal
E above lowest polymorph = 301 meV per atom
Total magnetic moment = 0.0 μB per formula unit

abc: 3.9846 3.9846 23.6625
angles: 90.00 90.00 120.00
Last column: nearest neighbours and their distance in Å.
Sites, in units of the cell vectors:
La1 0.0000 0.0000 0.0000  3 Se 2.88, 3 Os 3.21
La2 0.3333 0.6667 0.6667  3 Se 2.88, 3 Os 3.21
La3 0.6667 0.3333 0.3333  3 Se 2.88, 3 Os 3.21
Os1 0.0000 0.0000 0.7616  3 Se 2.44
Os2 0.3333 0.6667 0.4282  3 Se 2.44
Os3 0.6667 0.3333 0.0949  3 Se 2.44
Se1 0.0000 0.0000 0.2604  3 La 2.88
Se2 0.0000 0.0000 0.4629  3 Os 2.44
Se3 0.3333 0.6667 0.1296  3 Os 2.44
Se4 0.3333 0.6667 0.9271  3 La 2.88
Se5 0.6667 0.3333 0.5938  3 La 2.88
Se6 0.6667 0.3333 0.7962  3 Os 2.44

# 7
The following is a DFT calculation (PBE-GGA) of Sc3BiB after structural relaxation.

## Properties
Raw total energy = -5.77 eV per atom
Symmetry = No. 63
Crystal system = orthorhombic
E above lowest polymorph = 710 meV per atom
Total magnetic moment = 1.0 μB per formula unit

abc: 6.2055 6.2055 6.1064
angles: 90.00 90.00 102.05
Last column: nearest neighbours and their distance in Å.
Sites, in units of the cell vectors:
Sc1 0.0000 0.0000 0.0000  2 B 2.35
Sc2 0.0000 0.0000 0.5000  2 B 2.35
Sc3 0.0913 0.5063 0.7500  1 B 2.34
Sc4 0.4937 0.9087 0.7500  1 B 2.34
Sc5 0.5063 0.0913 0.2500  1 B 2.34
Sc6 0.9087 0.4937 0.2500  1 B 2.34
Bi1 0.4333 0.5667 0.2500  1 B 2.39
Bi2 0.5667 0.4333 0.7500  1 B 2.39
B1 0.1857 0.8143 0.2500  4 Sc 2.34-2.35, 1 Bi 2.39
B2 0.8143 0.1857 0.7500  4 Sc 2.34-2.35, 1 Bi 2.39

# 8
The following is a DFT calculation (PBE-GGA) of Pa3Ga2Pd4 after structural relaxation.

## Properties
Raw total energy = -6.78 eV per atom
Symmetry = No. 12
Crystal system = monoclinic
Total magnetic moment = 1.9 μB per formula unit

abc: 5.6434 5.6434 8.5829
angles: 118.16 118.16 48.17
Last column: nearest neighbours and their distance in Å.
Sites, in units of the cell vectors:
Pa1 0.0000 0.0000 0.0000  8 Pd 3.06-3.23, 2 Pa 3.19, 4 Ga 3.19
Pa2 0.3460 0.3460 0.3214  8 Pd 2.99-3.22, 4 Ga 3.06-3.14, 2 Pa 3.07-3.19
Pa3 0.6540 0.6540 0.6786  8 Pd 2.99-3.22, 4 Ga 3.06-3.14, 2 Pa 3.07-3.19
Ga1 0.3665 0.3665 0.6990  4 Pd 2.59-2.83
Ga2 0.6335 0.6335 0.3010  4 Pd 2.59-2.83
Pd1 0.0684 0.0684 0.3927  3 Ga 2.63-2.83, 1 Pd 2.84
Pd2 0.2830 0.2830 0.9362  1 Ga 2.59, 2 Pd 2.78
Pd3 0.7170 0.7170 0.0638  1 Ga 2.59, 2 Pd 2.78
Pd4 0.9316 0.9316 0.6073  3 Ga 2.63-2.83, 1 Pd 2.84

# 9
The following is a DFT calculation (PBE-GGA) of MnAu2Br after structural relaxation.

## Properties
Uncorrected formation energy = 0.1914 eV per atom
Raw total energy = -4.16 eV per atom
Symmetry = No. 44
Crystal system = orthorhombic
E above lowest polymorph = 241 meV per atom
Total magnetic moment = 4.4 μB per formula unit

abc: 3.1416 6.0505 9.3219
angles: 90.00 90.00 90.00
Last column: nearest neighbours and their distance in Å.
Sites, in units of the cell vectors:
Mn1 0.0000 0.0000 0.0000  2 Br 2.50, 2 Au 2.60
Mn2 0.5000 0.5000 0.5000  2 Br 2.50, 2 Au 2.60
Au1 0.0000 0.0000 0.5231  4 Au 2.85-3.14
Au2 0.0000 0.5000 0.2780  2 Mn 2.60, 2 Au 2.85
Au3 0.5000 0.0000 0.7780  2 Mn 2.60, 2 Au 2.85
Au4 0.5000 0.5000 0.0231  4 Au 2.85-3.14
Br1 0.0000 0.5000 0.7087  2 Mn 2.50
Br2 0.5000 0.0000 0.2087  2 Mn 2.50

# 10
The following is a DFT calculation (PBE-GGA) of Ac3CdP2Pt6 after structural relaxation.

## Properties
Raw total energy = -5.92 eV per atom
Symmetry = No. 164
Crystal system = trigonal
Total magnetic moment = 0.0 μB per formula unit

abc: 5.7422 5.7422 10.1862
angles: 90.00 90.00 120.00
Last column: nearest neighbours and their distance in Å.
Sites, in units of the cell vectors:
Ac1 0.0000 0.0000 0.0000  6 Pt 3.24, 6 P 3.51
Ac2 0.3333 0.6667 0.6067  6 Pt 3.12, 3 Cd 3.49
Ac3 0.6667 0.3333 0.3933  6 Pt 3.12, 3 Cd 3.49
Cd1 0.0000 0.0000 0.5000  6 Pt 2.82
P1 0.3333 0.6667 0.1142  3 Pt 2.35
P2 0.6667 0.3333 0.8858  3 Pt 2.35
Pt1 0.1639 0.3279 0.2746  1 P 2.35
Pt2 0.1639 0.8361 0.2746  1 P 2.35
Pt3 0.3279 0.1639 0.7254  1 P 2.35
Pt4 0.6721 0.8361 0.2746  1 P 2.35
Pt5 0.8361 0.1639 0.7254  1 P 2.35
Pt6 0.8361 0.6721 0.7254  1 P 2.35

# 11
The following is a DFT calculation (PBE-GGA) of SrTl2SbH after structural relaxation.

## Properties
Raw total energy = -3.03 eV per atom
Symmetry = No. 123
Crystal system = tetragonal
Total magnetic moment = 0.0 μB per formula unit

abc: 5.0404 5.0404 5.1555
angles: 90.00 90.00 90.00
Last column: nearest neighbours and their distance in Å.
Sites, in units of the cell vectors:
Sr1 0.0000 0.0000 0.0000  2 H 2.58
Tl1 0.0000 0.5000 0.5000  2 H 2.52
Tl2 0.5000 0.0000 0.5000  2 H 2.52
Sb1 0.5000 0.5000 0.0000  4 Sr 3.56, 8 Tl 3.61
H1 0.0000 0.0000 0.5000  4 Tl 2.52, 2 Sr 2.58

# 12
The following is a DFT calculation (PBE-GGA) of Tl2OsRh after structural relaxation.

## Properties
Raw total energy = -5.15 eV per atom
Symmetry = No. 38
Crystal system = orthorhombic
E above lowest polymorph = 184 meV per atom
Total magnetic moment = 0.0 μB per formula unit

abc: 4.4129 3.4538 10.2760
angles: 90.00 90.00 90.00
Last column: nearest neighbours and their distance in Å.
Sites, in units of the cell vectors:
Tl1 0.0000 0.0000 0.0000  3 Rh 2.84-2.88, 4 Os 2.92
Tl2 0.0000 0.5000 0.5000  3 Rh 2.84-2.88, 4 Os 2.92
Tl3 0.5000 0.0000 0.3077  3 Os 2.81-2.90, 4 Rh 2.94
Tl4 0.5000 0.5000 0.8077  3 Os 2.81-2.90, 4 Rh 2.94
Os1 0.5000 0.0000 0.5815  2 Rh 2.62, 7 Tl 2.81-2.92
Os2 0.5000 0.5000 0.0815  2 Rh 2.62, 7 Tl 2.81-2.92
Rh1 0.0000 0.0000 0.7199  2 Os 2.62, 3 Tl 2.84-2.88
Rh2 0.0000 0.5000 0.2199  2 Os 2.62, 3 Tl 2.84-2.88

Please write out number 4 again, unchanged.
The following is a DFT calculation (PBE-GGA) of Tm5TlTe8 after structural relaxation.

## Properties
Uncorrected formation energy = -1.1520 eV per atom
Raw total energy = -4.71 eV per atom
Symmetry = No. 216
Crystal system = cubic
Total magnetic moment = 0.0 μB per formula unit

abc: 9.0975 9.0975 9.0975
angles: 60.00 60.00 60.00
Last column: nearest neighbours and their distance in Å.
Sites, in units of the cell vectors:
Tm1 0.0000 0.0000 0.0000  4 Te 2.97
Tm2 0.1384 0.6205 0.6205  6 Te 2.99-3.18
Tm3 0.6205 0.1384 0.6205  6 Te 2.99-3.18
Tm4 0.6205 0.6205 0.1384  6 Te 2.99-3.18
Tm5 0.6205 0.6205 0.6205  6 Te 2.99-3.18
Tl1 0.2500 0.2500 0.2500  4 Te 3.09
Te1 0.3886 0.3886 0.3886  3 Tm 2.99, 1 Tl 3.09
Te2 0.3886 0.3886 0.8341  3 Tm 2.99, 1 Tl 3.09
Te3 0.3886 0.8341 0.3886  3 Tm 2.99, 1 Tl 3.09
Te4 0.3992 0.8669 0.8669  4 Tm 2.97-3.18
Te5 0.8341 0.3886 0.3886  3 Tm 2.99, 1 Tl 3.09
Te6 0.8669 0.3992 0.8669  4 Tm 2.97-3.18
Te7 0.8669 0.8669 0.3992  4 Tm 2.97-3.18
Te8 0.8669 0.8669 0.8669  4 Tm 2.97-3.18

Question: Look up the total magnetic moment of the fourth one.
Answer: 0.0 μB per formula unit

Question: Which of these has the highest raw total energy?
Answer: KTl7Hg5

Question: Which formula does entry 5 have?
Answer: PrSmZnBi